[1]
{"formula": "LaNiIrPb2", "functional": "PBE", "state": "optimized geometry", "cell": [[4.588, 0.000, 0.000], [0.000, 4.588, 0.000], [0.000, 0.000, 10.746]], "species": ["La", "La", "Ni", "Ni", "Ir", "Ir", "Pb", "Pb", "Pb", "Pb"], "fractional_positions": [[0.250, 0.250, 0.236], [0.750, 0.750, 0.764], [0.250, 0.250, 0.624], [0.750, 0.750, 0.376], [0.250, 0.750, 0.000], [0.750, 0.250, 0.000], [0.250, 0.250, 0.858], [0.250, 0.750, 0.500], [0.750, 0.250, 0.500], [0.750, 0.750, 0.142]], "vol_a3_per_cell": 226.17, "magmom_total_mub_per_fu": 0.01, "total_energy_ev_per_atom": -5.589}

[2]
{"formula": "La2PrSi4Ni2Ir2", "functional": "PBE", "state": "optimized geometry", "cell": [[-2.056, 2.090, 12.172], [2.056, -2.090, 12.172], [2.056, 2.090, -12.172]], "species": ["La", "La", "Pr", "Si", "Si", "Si", "Si", "Ni", "Ni", "Ir", "Ir"], "fractional_positions": [[0.144, 0.144, 0.000], [0.856, 0.856, 0.000], [0.000, 0.500, 0.500], [0.303, 0.303, 0.000], [0.450, 0.950, 0.500], [0.550, 0.050, 0.500], [0.697, 0.697, 0.000], [0.401, 0.401, 0.000], [0.599, 0.599, 0.000], [0.249, 0.749, 0.500], [0.751, 0.251, 0.500]], "vol_a3_per_cell": 209.22, "magmom_total_mub_per_fu": 0.01, "total_energy_ev_per_atom": -6.821}

[3]
{"formula": "La2PrNiSn3Ir2", "functional": "PBE", "state": "optimized geometry", "cell": [[4.142, 0.000, 0.000], [0.000, 6.573, 3.770], [0.000, -6.573, 3.770]], "species": ["La", "La", "Pr", "Ni", "Sn", "Sn", "Sn", "Ir", "Ir"], "fractional_positions": [[0.000, 0.208, 0.792], [0.000, 0.792, 0.208], [0.000, 0.380, 0.380], [0.000, 0.790, 0.790], [0.500, 0.039, 0.039], [0.500, 0.547, 0.789], [0.500, 0.789, 0.547], [0.500, 0.122, 0.458], [0.500, 0.458, 0.122]], "vol_a3_per_cell": 205.26, "magmom_total_mub_per_fu": 0.00, "total_energy_ev_per_atom": -6.299}

[4]
{"formula": "LaPr2NiSn3Ir2", "functional": "PBE", "state": "optimized geometry", "cell": [[4.138, 0.000, 0.000], [0.000, 6.510, 3.784], [0.000, -6.510, 3.784]], "species": ["La", "Pr", "Pr", "Ni", "Sn", "Sn", "Sn", "Ir", "Ir"], "fractional_positions": [[0.000, 0.000, 0.000], [0.000, 0.416, 0.828], [0.000, 0.828, 0.416], [0.000, 0.417, 0.417], [0.500, 0.170, 0.418], [0.500, 0.418, 0.170], [0.500, 0.659, 0.659], [0.500, 0.082, 0.753], [0.500, 0.753, 0.082]], "vol_a3_per_cell": 203.86, "magmom_total_mub_per_fu": 0.00, "total_energy_ev_per_atom": -6.262}

[5]
{"formula": "La2SmNiSn3Ir2", "functional": "PBE", "state": "optimized geometry", "cell": [[4.120, 0.000, 0.000], [0.000, 6.543, 3.754], [0.000, -6.543, 3.754]], "species": ["La", "La", "Sm", "Ni", "Sn", "Sn", "Sn", "Ir", "Ir"], "fractional_positions": [[0.000, 0.208, 0.792], [0.000, 0.792, 0.208], [0.000, 0.380, 0.380], [0.000, 0.789, 0.789], [0.500, 0.040, 0.040], [0.500, 0.546, 0.787], [0.500, 0.787, 0.546], [0.500, 0.123, 0.457], [0.500, 0.457, 0.123]], "vol_a3_per_cell": 202.38, "magmom_total_mub_per_fu": 0.00, "total_energy_ev_per_atom": -6.304}

[6]
{"formula": "La3Ni2Sn3Ir", "functional": "PBE", "state": "optimized geometry", "cell": [[7.498, 0.000, 0.000], [-3.749, 6.493, 0.000], [0.000, 0.000, 4.198]], "species": ["La", "La", "La", "Ni", "Ni", "Sn", "Sn", "Sn", "Ir"], "fractional_positions": [[0.000, 0.417, 0.000], [0.417, 0.000, 0.000], [0.583, 0.583, 0.000], [0.333, 0.667, 0.500], [0.667, 0.333, 0.500], [0.000, 0.750, 0.500], [0.250, 0.250, 0.500], [0.750, 0.000, 0.500], [0.000, 0.000, 0.000]], "vol_a3_per_cell": 204.40, "magmom_total_mub_per_fu": 0.00, "total_energy_ev_per_atom": -5.902}

[7]
{"formula": "LaTb2NiSn3Ir2", "functional": "PBE", "state": "optimized geometry", "cell": [[4.005, 0.000, 0.000], [0.000, 6.472, 3.733], [0.000, -6.472, 3.733]], "species": ["La", "Tb", "Tb", "Ni", "Sn", "Sn", "Sn", "Ir", "Ir"], "fractional_positions": [[0.000, 0.000, 0.000], [0.000, 0.414, 0.823], [0.000, 0.823, 0.414], [0.000, 0.419, 0.419], [0.500, 0.166, 0.420], [0.500, 0.420, 0.166], [0.500, 0.658, 0.658], [0.500, 0.084, 0.748], [0.500, 0.748, 0.084]], "vol_a3_per_cell": 193.54, "magmom_total_mub_per_fu": 0.00, "total_energy_ev_per_atom": -6.272}

[8]
{"formula": "La2TbNiSn3Ir2", "functional": "PBE", "state": "optimized geometry", "cell": [[4.090, 0.000, 0.000], [0.000, 6.522, 3.758], [0.000, -6.522, 3.758]], "species": ["La", "La", "Tb", "Ni", "Sn", "Sn", "Sn", "Ir", "Ir"], "fractional_positions": [[0.000, 0.208, 0.792], [0.000, 0.792, 0.208], [0.000, 0.381, 0.381], [0.000, 0.785, 0.785], [0.500, 0.040, 0.040], [0.500, 0.545, 0.787], [0.500, 0.787, 0.545], [0.500, 0.128, 0.455], [0.500, 0.455, 0.128]], "vol_a3_per_cell": 200.47, "magmom_total_mub_per_fu": 0.00, "total_energy_ev_per_atom": -6.300}

[9]
{"formula": "La2TmNiSn3Ir2", "functional": "PBE", "state": "optimized geometry", "cell": [[4.081, 0.000, 0.000], [0.000, 6.482, 3.757], [0.000, -6.482, 3.757]], "species": ["La", "La", "Tm", "Ni", "Sn", "Sn", "Sn", "Ir", "Ir"], "fractional_positions": [[0.000, 0.208, 0.792], [0.000, 0.792, 0.208], [0.000, 0.382, 0.382], [0.000, 0.782, 0.782], [0.500, 0.040, 0.040], [0.500, 0.545, 0.786], [0.500, 0.786, 0.545], [0.500, 0.133, 0.453], [0.500, 0.453, 0.133]], "vol_a3_per_cell": 198.79, "magmom_total_mub_per_fu": 0.00, "total_energy_ev_per_atom": -6.278}

[10]
{"formula": "La2Zn4NiIr", "functional": "PBE", "state": "optimized geometry", "cell": [[7.718, 0.000, 0.000], [0.000, 2.030, 4.964], [0.000, -2.030, 4.964]], "species": ["La", "La", "Zn", "Zn", "Zn", "Zn", "Ni", "Ir"], "fractional_positions": [[0.000, 0.000, 0.000], [0.500, 0.122, 0.122], [0.208, 0.721, 0.721], [0.309, 0.406, 0.406], [0.691, 0.406, 0.406], [0.792, 0.721, 0.721], [0.500, 0.846, 0.846], [0.000, 0.279, 0.279]], "formation_energy_mev_per_atom": -470, "vol_a3_per_cell": 155.58, "magmom_total_mub_per_fu": 0.00, "total_energy_ev_per_atom": -4.136}

[11]
{"formula": "La3IrO6", "functional": "PBE", "state": "optimized geometry", "cell": [[4.631, -5.794, 0.000], [4.631, 5.794, 0.000], [0.000, 0.000, 5.939]], "species": ["La", "La", "La", "La", "La", "La", "Ir", "Ir", "O", "O", "O", "O", "O", "O", "O", "O", "O", "O", "O", "O"], "fractional_positions": [[0.103, 0.897, 0.500], [0.195, 0.406, 0.460], [0.406, 0.195, 0.960], [0.594, 0.805, 0.460], [0.805, 0.594, 0.960], [0.897, 0.103, 0.000], [0.300, 0.700, 0.950], [0.700, 0.300, 0.450], [0.094, 0.611, 0.719], [0.144, 0.172, 0.725], [0.172, 0.144, 0.225], [0.288, 0.712, 0.260], [0.389, 0.906, 0.719], [0.444, 0.556, 0.740], [0.556, 0.444, 0.240], [0.611, 0.094, 0.219], [0.712, 0.288, 0.760], [0.828, 0.856, 0.725], [0.856, 0.828, 0.225], [0.906, 0.389, 0.219]], "vol_a3_per_cell": 318.68, "magmom_total_mub_per_fu": 0.00, "total_energy_ev_per_atom": -7.895}

[12]
{"formula": "La3Ir3O11", "functional": "PBE", "state": "optimized geometry", "cell": [[9.477, 0.000, 0.000], [0.000, 9.477, 0.000], [0.000, 0.000, 9.477]], "species": ["La", "La", "La", "La", "La", "La", "La", "La", "La", "La", "La", "La", "Ir", "Ir", "Ir", "Ir", "Ir", "Ir", "Ir", "Ir", "Ir", "Ir", "Ir", "Ir", "O", "O", "O", "O", "O", "O", "O", "O", "O", "O", "O", "O", "O", "O", "O", "O", "O", "O", "O", "O", "O", "O", "O", "O", "O", "O", "O", "O", "O", "O", "O", "O", "O", "O", "O", "O", "O", "O", "O", "O", "O", "O", "O", "O"], "fractional_positions": [[0.000, 0.000, 0.000], [0.000, 0.500, 0.500], [0.114, 0.114, 0.386], [0.114, 0.386, 0.114], [0.386, 0.114, 0.114], [0.386, 0.386, 0.386], [0.500, 0.000, 0.500], [0.500, 0.500, 0.000], [0.614, 0.614, 0.614], [0.614, 0.886, 0.886], [0.886, 0.614, 0.886], [0.886, 0.886, 0.614], [0.092, 0.750, 0.250], [0.250, 0.092, 0.750], [0.250, 0.408, 0.750], [0.250, 0.750, 0.592], [0.250, 0.750, 0.908], [0.408, 0.750, 0.250], [0.592, 0.250, 0.750], [0.750, 0.250, 0.092], [0.750, 0.250, 0.408], [0.750, 0.592, 0.250], [0.750, 0.908, 0.250], [0.908, 0.250, 0.750], [0.041, 0.083, 0.746], [0.041, 0.417, 0.754], [0.083, 0.746, 0.041], [0.083, 0.754, 0.459], [0.112, 0.750, 0.750], [0.144, 0.144, 0.144], [0.144, 0.356, 0.356], [0.246, 0.541, 0.917], [0.246, 0.959, 0.583], [0.250, 0.250, 0.612], [0.250, 0.250, 0.888], [0.250, 0.612, 0.250], [0.250, 0.888, 0.250], [0.254, 0.541, 0.583], [0.254, 0.959, 0.917], [0.356, 0.144, 0.356], [0.356, 0.356, 0.144], [0.388, 0.750, 0.750], [0.417, 0.746, 0.459], [0.417, 0.754, 0.041], [0.459, 0.083, 0.754], [0.459, 0.417, 0.746], [0.541, 0.583, 0.254], [0.541, 0.917, 0.246], [0.583, 0.246, 0.959], [0.583, 0.254, 0.541], [0.612, 0.250, 0.250], [0.644, 0.644, 0.856], [0.644, 0.856, 0.644], [0.746, 0.041, 0.083], [0.746, 0.459, 0.417], [0.750, 0.112, 0.750], [0.750, 0.388, 0.750], [0.750, 0.750, 0.112], [0.750, 0.750, 0.388], [0.754, 0.041, 0.417], [0.754, 0.459, 0.083], [0.856, 0.644, 0.644], [0.856, 0.856, 0.856], [0.888, 0.250, 0.250], [0.917, 0.246, 0.541], [0.917, 0.254, 0.959], [0.959, 0.583, 0.246], [0.959, 0.917, 0.254]], "vol_a3_per_cell": 851.27, "magmom_total_mub_per_fu": 0.99, "total_energy_ev_per_atom": -7.628}

What did the twelfth record say?
{"formula": "La3Ir3O11", "functional": "PBE", "state": "optimized geometry", "cell": [[9.477, 0.000, 0.000], [0.000, 9.477, 0.000], [0.000, 0.000, 9.477]], "species": ["La", "La", "La", "La", "La", "La", "La", "La", "La", "La", "La", "La", "Ir", "Ir", "Ir", "Ir", "Ir", "Ir", "Ir", "Ir", "Ir", "Ir", "Ir", "Ir", "O", "O", "O", "O", "O", "O", "O", "O", "O", "O", "O", "O", "O", "O", "O", "O", "O", "O", "O", "O", "O", "O", "O", "O", "O", "O", "O", "O", "O", "O", "O", "O", "O", "O", "O", "O", "O", "O", "O", "O", "O", "O", "O", "O"], "fractional_positions": [[0.000, 0.000, 0.000], [0.000, 0.500, 0.500], [0.114, 0.114, 0.386], [0.114, 0.386, 0.114], [0.386, 0.114, 0.114], [0.386, 0.386, 0.386], [0.500, 0.000, 0.500], [0.500, 0.500, 0.000], [0.614, 0.614, 0.614], [0.614, 0.886, 0.886], [0.886, 0.614, 0.886], [0.886, 0.886, 0.614], [0.092, 0.750, 0.250], [0.250, 0.092, 0.750], [0.250, 0.408, 0.750], [0.250, 0.750, 0.592], [0.250, 0.750, 0.908], [0.408, 0.750, 0.250], [0.592, 0.250, 0.750], [0.750, 0.250, 0.092], [0.750, 0.250, 0.408], [0.750, 0.592, 0.250], [0.750, 0.908, 0.250], [0.908, 0.250, 0.750], [0.041, 0.083, 0.746], [0.041, 0.417, 0.754], [0.083, 0.746, 0.041], [0.083, 0.754, 0.459], [0.112, 0.750, 0.750], [0.144, 0.144, 0.144], [0.144, 0.356, 0.356], [0.246, 0.541, 0.917], [0.246, 0.959, 0.583], [0.250, 0.250, 0.612], [0.250, 0.250, 0.888], [0.250, 0.612, 0.250], [0.250, 0.888, 0.250], [0.254, 0.541, 0.583], [0.254, 0.959, 0.917], [0.356, 0.144, 0.356], [0.356, 0.356, 0.144], [0.388, 0.750, 0.750], [0.417, 0.746, 0.459], [0.417, 0.754, 0.041], [0.459, 0.083, 0.754], [0.459, 0.417, 0.746], [0.541, 0.583, 0.254], [0.541, 0.917, 0.246], [0.583, 0.246, 0.959], [0.583, 0.254, 0.541], [0.612, 0.250, 0.250], [0.644, 0.644, 0.856], [0.644, 0.856, 0.644], [0.746, 0.041, 0.083], [0.746, 0.459, 0.417], [0.750, 0.112, 0.750], [0.750, 0.388, 0.750], [0.750, 0.750, 0.112], [0.750, 0.750, 0.388], [0.754, 0.041, 0.417], [0.754, 0.459, 0.083], [0.856, 0.644, 0.644], [0.856, 0.856, 0.856], [0.888, 0.250, 0.250], [0.917, 0.246, 0.541], [0.917, 0.254, 0.959], [0.959, 0.583, 0.246], [0.959, 0.917, 0.254]], "vol_a3_per_cell": 851.27, "magmom_total_mub_per_fu": 0.99, "total_energy_ev_per_atom": -7.628}